VASP calculation (PBE) on a geometry-optimized Be2PtBr structure.

```
4
Lattice="4.5396 -0.0412 0.0000 1.1670 4.3872 0.0000 -2.8533 -2.1730 2.7832" Properties=species:S:1:pos:R:3 pbc="T T T"
Pt 2.2698 -0.0206 1.3916
Br 0.5835 2.1936 1.3916
Be 0.0000 0.0000 0.0000
Be 2.8533 2.1730 0.0000
```

Values from the calculation:
Total magnetic moment: 0.00 μB/f.u.
Space-group type: No. 139
Fermi-level density of states: 1.7 states/eV/f.u.
Raw formation energy: 0.541 eV/atom
ΔE to the lowest computed polymorph: 866 meV/atom